Density functional theory data (PBE-GGA) for a relaxed structure of InPSe.

Output
- density of states at the Fermi level (states/eV per atom) = 0.36
- formation energy (no corrections) (eV/atom) = 0.213
- raw total energy (eV/cell) = -10.994

Unit cell a=6.2484 b=6.2484 c=6.2484 alpha=147.04 beta=147.04 gamma=47.30
Last column: nearest neighbours and their distance in Å.
Atoms (fractional coordinates):
In: 0.0000 0.0000 0.0000  1 Se 3.08, 1 P 3.33
P: 0.2910 0.2910 0.0000  4 Se 2.60
Se: 0.7314 0.7314 0.0000  4 P 2.60